Computed, not measured: a relaxed AlCu7Sb2Au2 crystal at the PBE-GGA level of DFT.

space group: C2/m
M_tot: 0.00 Bohr magnetons per cell
uncorrected formation energy: 16 meV/atom

Cell lengths 3.680, 3.680, 14.397 Å; angles 82.92, 82.92, 89.95 degrees
Atoms (fractional coordinates):
Cu1 0.561 0.062 0.872
Cu2 0.062 0.561 0.872
Cu3 0.938 0.439 0.128
Cu4 0.724 0.724 0.542
Cu5 0.439 0.938 0.128
Cu6 0.276 0.276 0.458
Cu7 0.500 0.500 0.000
Sb1 0.175 0.175 0.640
Sb2 0.825 0.825 0.360
Au1 0.629 0.629 0.735
Au2 0.371 0.371 0.265
Al1 0.000 0.000 0.000

Computed, not measured: a relaxed ScAl2CuAu4 crystal at the PBE-GGA level of DFT.

space group: R-3m
M_tot: 0.00 Bohr magnetons per cell
energy relative to the elements: -0.442 eV per atom

Cell lengths 4.436, 4.436, 8.478 Å; angles 74.83, 74.83, 60.00 degrees
Atoms (fractional coordinates):
Al1 0.755 0.755 0.734
Al2 0.245 0.245 0.266
Sc1 0.000 0.000 0.000
Au1 0.611 0.611 0.166
Au2 0.871 0.871 0.386
Au3 0.389 0.389 0.834
Au4 0.129 0.129 0.614
Cu1 0.500 0.500 0.500

Computed, not measured: a relaxed Sc2AlCuAu crystal at the PBE-GGA level of DFT.

space group: P4/mmm
M_tot: 0.00 Bohr magnetons per cell
energy relative to the elements: -0.040 eV per atom

Cell lengths 4.920, 4.407, 4.920 Å; angles 90.00, 90.00, 90.00 degrees
Atoms (fractional coordinates):
Au1 0.500 0.500 0.500
Cu1 0.000 0.000 0.000
Al1 0.000 0.500 0.000
Sc1 0.000 0.000 0.500
Sc2 0.500 0.000 0.000

Computed, not measured: a relaxed Sc4AlCu2Au crystal at the PBE-GGA level of DFT.

space group: R-3m
M_tot: 0.00 Bohr magnetons per cell
energy relative to the elements: -0.456 eV per atom

Cell lengths 4.704, 4.704, 8.240 Å; angles 73.41, 73.41, 60.00 degrees
Atoms (fractional coordinates):
Sc1 0.377 0.377 0.869
Sc2 0.874 0.874 0.377
Sc3 0.623 0.623 0.131
Sc4 0.126 0.126 0.623
Cu1 0.259 0.259 0.222
Cu2 0.741 0.741 0.778
Al1 0.000 0.000 0.000
Au1 0.500 0.500 0.500

Computed, not measured: a relaxed ScAl3CuAu crystal at the PBE-GGA level of DFT.

space group: Cmcm
M_tot: 0.00 Bohr magnetons per cell
energy relative to the elements: -0.259 eV per atom

Cell lengths 5.657, 6.085, 6.846 Å; angles 116.39, 90.00, 90.00 degrees
Atoms (fractional coordinates):
Al1 0.500 0.716 0.000
Al2 0.000 0.284 0.000
Al3 0.000 0.716 0.000
Al4 0.250 0.138 0.275
Al5 0.500 0.284 0.000
Al6 0.750 0.862 0.725
Sc1 0.750 0.298 0.595
Sc2 0.250 0.702 0.405
Cu1 0.250 0.914 0.827
Cu2 0.750 0.086 0.173
Au1 0.750 0.655 0.310
Au2 0.250 0.345 0.690

Computed, not measured: a relaxed ScAlCuAu crystal at the PBE-GGA level of DFT.

space group: F-43m
M_tot: 0.00 Bohr magnetons per cell
energy relative to the elements: -0.564 eV per atom

Cell lengths 4.543, 4.543, 4.543 Å; angles 60.00, 60.00, 60.00 degrees
Atoms (fractional coordinates):
Cu1 0.250 0.250 0.250
Al1 0.500 0.500 0.500
Sc1 0.000 0.000 0.000
Au1 0.750 0.750 0.750

Number 1: E_tot -47.022 eV/cell. Number 2: E_tot -34.561 eV/cell. Number 3: E_tot -23.977 eV/cell. Number 4: E_tot -44.189 eV/cell. Number 5: E_tot -52.972 eV/cell. Number 6: E_tot -19.702 eV/cell.